Cs2Rb3CaCl6 | PBE | relaxed

Unit cell a=8.324 b=14.937 c=8.247 alpha=90.00 beta=107.94 gamma=90.00
Space group C2/m (No. 12)
One atom of each set of equivalent atoms:
Cs1 0.000 0.170 0.000 x4
Rb1 0.000 0.000 0.500 x2
Rb2 0.000 0.347 0.500 x4
Ca1 0.000 0.500 0.000 x2
Cl1 0.201 0.369 0.210 x8
Cl2 0.211 0.500 0.785 x4

V ... 487.74 Å³/f.u.
ρ ... 2.6 g/cm³
Energy ... -80.3 eV for the cell shown
Crystal system ... monoclinic

---

CdIn2Cu | PBE | relaxed

Unit cell a=3.3417 b=3.3417 c=26.9348 alpha=90.00 beta=90.00 gamma=120.00
Space group R-3m (No. 166, hexagonal axes)
One atom of each set of equivalent atoms:
Cd1 0.0000 0.0000 0.0000 x3
In1 0.0000 0.0000 0.2402 x6
Cu1 0.0000 0.0000 0.5000 x3

V ... 86.83 Å³/f.u.
ρ ... 7.8 g/cm³
Energy of formation ... 68 meV/atom
Crystal system ... trigonal

---

Li3ZnCl | PBE | relaxed

Unit cell a=4.995 b=4.995 c=4.995 alpha=90.00 beta=90.00 gamma=90.00
Space group Pm-3m (No. 221)
One atom of each set of equivalent atoms:
Li1 0.000 0.000 0.500 x3
Zn1 0.000 0.000 0.000 x1
Cl1 0.500 0.500 0.500 x1

ΔE to the lowest computed polymorph ... 211 kJ/mol of formula units
V ... 124.62 Å³/f.u.
ρ ... 1.6 g/cm³
Crystal system ... cubic

---

AlFe2Sb | PBE | relaxed

Unit cell a=3.337 b=3.337 c=5.379 alpha=90.00 beta=90.00 gamma=90.00
Space group P4mm (No. 99)
One atom of each set of equivalent atoms:
Al1 0.000 0.000 0.000 x1
Fe1 0.000 0.000 0.455 x1
Fe2 0.500 0.500 0.188 x1
Sb1 0.500 0.500 0.680 x1

ΔE to the lowest computed polymorph ... 21 kJ/mol of formula units
V ... 59.89 Å³/f.u.
ρ ... 7.2 g/cm³
Crystal system ... tetragonal

---

Sc3Cd5 | PBE | relaxed

Unit cell a=7.276 b=9.885 c=4.879 alpha=90.00 beta=90.00 gamma=90.00
Space group Cmmm (No. 65)
One atom of each set of equivalent atoms:
Sc1 0.000 0.000 0.000 x2
Sc2 0.000 0.261 0.500 x4
Cd1 0.000 0.500 0.000 x2
Cd2 0.242 0.000 0.500 x4
Cd3 0.250 0.250 0.000 x4

ΔE to the lowest computed polymorph ... 5 kJ/mol of formula units
V ... 175.46 Å³/f.u.
ρ ... 6.6 g/cm³
Energy of formation ... -243 meV/atom
Crystal system ... orthorhombic

---

CdPtRh2C | PBE | relaxed

Unit cell a=4.137 b=4.137 c=4.182 alpha=90.00 beta=90.00 gamma=90.00
Space group P4/mmm (No. 123)
One atom of each set of equivalent atoms:
Cd1 0.000 0.000 0.000 x1
Pt1 0.500 0.500 0.000 x1
Rh1 0.000 0.500 0.500 x2
C1 0.500 0.500 0.500 x1

V ... 71.59 Å³/f.u.
ρ ... 12.2 g/cm³
Energy of formation ... 3 meV/atom
Crystal system ... tetragonal